# 1
{"formula": "Ca2ZrAg", "functional": "GGA-PBE", "state": "relaxed", "lattice_angstrom": [[3.909, 0.000, 0.000], [0.000, 5.191, 0.000], [0.000, 0.000, 5.226]], "species": ["Ca", "Ca", "Zr", "Ag"], "frac_coords": [[0.000, 0.000, 0.000], [0.500, 0.000, 0.500], [0.000, 0.500, 0.500], [0.500, 0.500, 0.000]], "sg": "Pmmm (47)", "mass_density_g_cm3": 4.37, "formation_enthalpy_0k_ev_per_atom": 0.2806}

=====

# 2
{"formula": "Ca2ZrAg", "functional": "GGA-PBE", "state": "relaxed", "lattice_angstrom": [[0.000, 3.758, 3.758], [3.758, 0.000, 3.758], [3.758, 3.758, 0.000]], "species": ["Ca", "Ca", "Zr", "Ag"], "frac_coords": [[0.000, 0.000, 0.000], [0.250, 0.250, 0.250], [0.750, 0.750, 0.750], [0.500, 0.500, 0.500]], "sg": "F-43m (216)", "mass_density_g_cm3": 4.37, "formation_enthalpy_0k_ev_per_atom": 0.3327}

=====

# 3
{"formula": "CaZr2Ag", "functional": "GGA-PBE", "state": "relaxed", "lattice_angstrom": [[3.129, 0.000, 0.000], [0.000, 3.129, 0.000], [0.000, 0.000, 9.916]], "species": ["Ca", "Zr", "Zr", "Ag"], "frac_coords": [[0.000, 0.000, 0.000], [0.500, 0.500, 0.291], [0.500, 0.500, 0.709], [0.000, 0.000, 0.500]], "sg": "P4/mmm (123)", "mass_density_g_cm3": 5.65, "formation_enthalpy_0k_ev_per_atom": 0.2553}